[1]
The following is a SCAN calculation of a crystal of CaYAu relaxed with PBEsol, from Alexandria.

Properties
E above lowest polymorph: 0.803 eV per atom
total magnetic moment: 0.02 μB/f.u.
space-group type: F-43m, No. 216

a = 4.7954 Å, b = 4.7954 Å, c = 4.7954 Å
α = 60.00°, β = 60.00°, γ = 60.00°
Sites, in units of the cell vectors:
Ca (0.2500, 0.2500, 0.2500)
Y (0.0000, 0.0000, 0.0000)
Au (0.5000, 0.5000, 0.5000)


[2]
The following is a SCAN calculation of a crystal of RbHg2Pd2 relaxed with PBEsol, from Alexandria.

Properties
E above lowest polymorph: 0.000 eV per atom
total magnetic moment: 0.00 μB/f.u.
space-group type: P4/mbm, No. 127

a = 3.0370 Å, b = 8.2386 Å, c = 8.2386 Å
α = 90.00°, β = 90.00°, γ = 90.00°
Sites, in units of the cell vectors:
Hg (0.5000, 0.8314, 0.3314)
Rb (0.0000, 0.5000, 0.5000)
Pd (0.0000, 0.1236, 0.3764)
Pd (0.0000, 0.8764, 0.6236)
Hg (0.5000, 0.3314, 0.1686)
Rb (0.0000, 0.0000, 0.0000)
Hg (0.5000, 0.6686, 0.8314)
Pd (0.0000, 0.3764, 0.8764)
Pd (0.0000, 0.6236, 0.1236)
Hg (0.5000, 0.1686, 0.6686)